Record 1
VASP calculation (PBE) on an optimized crystal structure of SiAg2Ru.

Results
For the formation energy (no corrections), the calculation gives 0.217 eV per atom. For the volume, the calculation gives 64 Å³/cell. As for the space group: No. 44.

Unit cell a=5.2657 b=5.2657 c=5.2657 alpha=145.87 beta=128.33 gamma=63.39
Fractional positions:
Si  0.2663  0.7663  0.5000
Ag  0.7455  0.2455  0.5000
Ag  0.0292  0.0292  0.0000
Ru  0.4590  0.4590  0.0000

=====

Record 2
VASP calculation (PBE) on an optimized crystal structure of Ho5Cu6.

Results
The calculated formation energy comes out at -0.09 eV per atom. For the volume, the calculation gives 240 Å³/cell. As for the space group: No. 12.

Unit cell a=4.7794 b=7.0299 c=8.3768 alpha=114.82 beta=108.32 gamma=90.01
Fractional positions:
Ho  0.0000  0.5000  0.0000
Ho  0.6784  0.6764  0.3528
Ho  0.3216  0.3236  0.6472
Ho  0.3767  0.8597  0.7194
Ho  0.6233  0.1403  0.2806
Cu  0.8180  0.5378  0.6372
Cu  0.5001  0.7032  0.9998
Cu  0.1820  0.9007  0.3628
Cu  0.4999  0.2968  0.0002
Cu  0.8180  0.0993  0.6372
Cu  0.1820  0.4622  0.3628

=====

Record 3
VASP calculation (PBE) on an optimized crystal structure of Na3ScCd.

Results
The calculated formation energy comes out at 0.86 eV per atom. For the volume, the calculation gives 253 Å³/cell. As for the space group: No. 221.

Unit cell a=6.3214 b=6.3214 c=6.3214 alpha=90.00 beta=90.00 gamma=90.00
Site moments in Bohr magnetons follow the coordinates.
Fractional positions:
Na  0.0000  0.5000  0.0000  0.02
Na  0.0000  0.0000  0.5000  0.02
Na  0.5000  0.0000  0.0000  0.01
Sc  0.0000  0.0000  0.0000  0.99
Cd  0.5000  0.5000  0.5000  0.00

=====

Record 4
VASP calculation (PBE) on an optimized crystal structure of SmPu3Pd4.

Results
The calculated formation energy comes out at -0.49 eV per atom. For the volume, the calculation gives 177 Å³/cell. As for the space group: No. 47.

Unit cell a=3.5042 b=5.0130 c=10.0788 alpha=90.00 beta=90.00 gamma=90.00
Site moments in Bohr magnetons follow the coordinates.
Fractional positions:
Pd  0.0000  0.5000  0.7532  -0.01
Pd  0.0000  0.0000  0.0000  0.01
Pd  0.0000  0.5000  0.2468  -0.01
Pd  0.0000  0.0000  0.5000  -0.03
Pu  0.5000  0.5000  0.5000  5.37
Pu  0.5000  0.0000  0.2549  5.34
Pu  0.5000  0.0000  0.7451  5.34
Sm  0.5000  0.5000  0.0000  0.07

=====

Record 5
VASP calculation (PBE) on an optimized crystal structure of Ho6Cu2Au.

Results
The calculated formation energy comes out at -0.30 eV per atom. For the volume, the calculation gives 448 Å³/cell. As for the space group: No. 71.

Unit cell a=8.3513 b=8.3513 c=8.3513 alpha=107.68 beta=109.90 gamma=110.85
Fractional positions:
Ho  0.0951  0.2740  0.8210
Ho  0.5470  0.7260  0.8210
Ho  0.6993  0.0253  0.3259
Ho  0.3007  0.6266  0.3259
Ho  0.4530  0.2740  0.1790
Ho  0.8110  0.7533  0.5643
Ho  0.6993  0.3734  0.6741
Ho  0.9049  0.7260  0.1790
Ho  0.8110  0.2467  0.0578
Ho  0.1890  0.7533  0.9422
Ho  0.1890  0.2467  0.4357
Ho  0.3007  0.9747  0.6741
Cu  0.5000  0.6213  0.1213
Cu  0.5000  0.3787  0.8787
Cu  0.3546  0.0000  0.3546
Cu  0.6454  0.0000  0.6454
Au  0.0000  0.5000  0.5000
Au  0.0000  0.0000  0.0000

=====

Record 6
VASP calculation (PBE) on an optimized crystal structure of Li6TlGe.

Results
The calculated formation energy comes out at -0.22 eV per atom. For the volume, the calculation gives 139 Å³/cell. As for the space group: No. 38.

Unit cell a=4.6583 b=5.8393 c=5.8393 alpha=118.88 beta=90.00 gamma=90.00
Fractional positions:
Tl  0.0000  0.0835  0.9165
Li  0.0000  0.1145  0.4302
Li  0.0000  0.5746  0.4254
Li  0.5000  0.9166  0.5901
Li  0.0000  0.5698  0.8855
Li  0.5000  0.9138  0.0862
Li  0.5000  0.4099  0.0834
Ge  0.5000  0.4169  0.5831

=====

Record 7
VASP calculation (PBE) on an optimized crystal structure of U2In2Se5.

Results
For the formation energy (no corrections), the calculation gives -0.853 eV per atom. For the volume, the calculation gives 490 Å³/cell. As for the space group: No. 64.

Unit cell a=7.7987 b=7.8047 c=8.9527 alpha=115.84 beta=90.00 gamma=90.00
Site moments in Bohr magnetons follow the coordinates.
Fractional positions:
Se  0.5000  0.5000  0.0000  -0.09
Se  0.1488  0.4660  0.2304  -0.08
Se  0.0000  0.0000  0.0000  -0.09
Se  0.3512  0.7356  0.7696  -0.08
Se  0.8512  0.5340  0.7696  -0.08
Se  0.6488  0.0340  0.7696  -0.08
Se  0.8512  0.7644  0.2304  -0.08
Se  0.3512  0.9660  0.2304  -0.08
Se  0.1488  0.2356  0.7696  -0.08
Se  0.6488  0.2644  0.2304  -0.08
In  0.5000  0.3005  0.6009  -0.01
In  0.0000  0.8005  0.6009  -0.01
In  0.0000  0.1995  0.3991  -0.01
In  0.5000  0.6995  0.3991  -0.01
U  0.6554  0.8444  0.0000  2.13
U  0.8446  0.3444  0.0000  2.13
U  0.3446  0.1556  0.0000  2.13
U  0.1554  0.6556  0.0000  2.13

=====

Record 8
VASP calculation (PBE) on an optimized crystal structure of Ta2PbW.

Results
The calculated formation energy comes out at 0.37 eV per atom. For the volume, the calculation gives 76 Å³/cell. As for the space group: No. 123.

Unit cell a=3.5056 b=3.5010 c=6.2137 alpha=90.00 beta=90.00 gamma=90.00
Fractional positions:
W  0.5000  0.5000  0.2500
Ta  0.0000  0.0000  0.0260
Ta  0.0000  0.0000  0.4740
Pb  0.5000  0.5000  0.7500